# 1
A geometry-optimized K3NbSe4 structure, computed with PBE-GGA.

Structure (CIF):
```
data_K3NbSe4
_cell_length_a 9.729
_cell_length_b 11.295
_cell_length_c 9.872
_cell_angle_alpha 90.00
_cell_angle_beta 90.00
_cell_angle_gamma 90.00
_space_group_name_H-M_alt 'P 1'
_space_group_IT_number 1
loop_
_space_group_symop_operation_xyz
'x,y,z'
loop_
_atom_site_label
_atom_site_fract_x
_atom_site_fract_y
_atom_site_fract_z
K1 0.057 0.048 0.208
K2 0.057 0.452 0.208
K3 0.128 0.750 0.415
K4 0.372 0.250 0.915
K5 0.443 0.548 0.708
K6 0.443 0.952 0.708
K7 0.557 0.048 0.292
K8 0.557 0.452 0.292
K9 0.628 0.750 0.085
K10 0.872 0.250 0.585
K11 0.943 0.548 0.792
K12 0.943 0.952 0.792
Nb1 0.214 0.750 0.985
Nb2 0.286 0.250 0.485
Nb3 0.714 0.750 0.515
Nb4 0.786 0.250 0.015
Se1 0.013 0.250 0.915
Se2 0.165 0.073 0.552
Se3 0.165 0.427 0.552
Se4 0.191 0.750 0.740
Se5 0.309 0.250 0.240
Se6 0.335 0.573 0.052
Se7 0.335 0.927 0.052
Se8 0.487 0.750 0.415
Se9 0.513 0.250 0.585
Se10 0.665 0.073 0.948
Se11 0.665 0.427 0.948
Se12 0.691 0.750 0.760
Se13 0.809 0.250 0.260
Se14 0.835 0.573 0.448
Se15 0.835 0.927 0.448
Se16 0.987 0.750 0.085
```

- SG = Pnma
- VASP energy (eV/atom) = -4.546

---

# 2
A geometry-optimized K3NbTe2Se2 structure, computed with PBE-GGA.

Structure (CIF):
```
data_K3NbTe2Se2
_cell_length_a 7.571
_cell_length_b 7.038
_cell_length_c 8.378
_cell_angle_alpha 58.05
_cell_angle_beta 52.07
_cell_angle_gamma 69.88
_space_group_name_H-M_alt 'P 1'
_space_group_IT_number 1
loop_
_space_group_symop_operation_xyz
'x,y,z'
loop_
_atom_site_label
_atom_site_fract_x
_atom_site_fract_y
_atom_site_fract_z
K1 0.000 0.000 0.000
K2 0.416 0.416 0.084
K3 0.916 0.916 0.584
Nb1 0.486 0.486 0.514
Te1 0.481 0.837 0.163
Te2 0.837 0.481 0.519
Se1 0.147 0.495 0.853
Se2 0.495 0.147 0.505
```

- SG = Fmm2
- VASP energy (eV/atom) = -4.283

---

# 3
A geometry-optimized KZrNbSe3 structure, computed with PBE-GGA.

Structure (CIF):
```
data_KZrNbSe3
_cell_length_a 8.727
_cell_length_b 3.800
_cell_length_c 10.246
_cell_angle_alpha 90.00
_cell_angle_beta 113.24
_cell_angle_gamma 90.00
_space_group_name_H-M_alt 'P 1'
_space_group_IT_number 1
loop_
_space_group_symop_operation_xyz
'x,y,z'
loop_
_atom_site_label
_atom_site_fract_x
_atom_site_fract_y
_atom_site_fract_z
K1 0.033 0.250 0.278
K2 0.967 0.750 0.722
Zr1 0.480 0.250 0.145
Zr2 0.520 0.750 0.855
Nb1 0.481 0.750 0.396
Nb2 0.519 0.250 0.604
Se1 0.247 0.750 0.146
Se2 0.290 0.750 0.549
Se3 0.300 0.250 0.863
Se4 0.700 0.750 0.137
Se5 0.710 0.250 0.451
Se6 0.753 0.250 0.854
```

- SG = P2_1/m
- VASP energy (eV/atom) = -6.130

---

# 4
A geometry-optimized KZrNbSe3 structure, computed with PBE-GGA.

Structure (CIF):
```
data_KZrNbSe3
_cell_length_a 8.148
_cell_length_b 8.148
_cell_length_c 10.106
_cell_angle_alpha 90.00
_cell_angle_beta 90.00
_cell_angle_gamma 153.07
_space_group_name_H-M_alt 'P 1'
_space_group_IT_number 1
loop_
_space_group_symop_operation_xyz
'x,y,z'
loop_
_atom_site_label
_atom_site_fract_x
_atom_site_fract_y
_atom_site_fract_z
K1 0.248 0.752 0.750
K2 0.752 0.248 0.250
Zr1 0.000 0.000 0.000
Zr2 0.000 0.000 0.500
Nb1 0.473 0.527 0.250
Nb2 0.527 0.473 0.750
Se1 0.085 0.915 0.250
Se2 0.377 0.623 0.051
Se3 0.377 0.623 0.449
Se4 0.623 0.377 0.551
Se5 0.623 0.377 0.949
Se6 0.915 0.085 0.750
```

- SG = Cmcm
- VASP energy (eV/atom) = -6.115